Crystalline LiCoPO4 at its relaxed geometry. Source: Alexandria, functional GGA+U.

Geometry as POSCAR:
```
LiCoPO4
1.0
8.588 0.000 0.000
-2.633 8.175 0.000
-2.633 -3.614 7.333
O P Li Co
24 6 6 6
Direct
0.631 0.693 0.353
0.026 0.027 0.696
0.605 0.235 0.909
0.415 0.728 0.100
0.312 0.311 0.630
0.360 0.411 0.077
0.257 0.979 0.923
0.923 0.257 0.979
0.693 0.353 0.631
0.353 0.631 0.693
0.707 0.646 0.979
0.696 0.026 0.027
0.235 0.909 0.605
0.100 0.415 0.728
0.411 0.077 0.360
0.630 0.312 0.311
0.646 0.979 0.707
0.979 0.707 0.646
0.728 0.100 0.415
0.311 0.630 0.312
0.979 0.923 0.257
0.027 0.696 0.026
0.909 0.605 0.235
0.077 0.360 0.411
0.125 0.904 0.718
0.718 0.125 0.904
0.904 0.718 0.125
0.614 0.209 0.430
0.209 0.430 0.614
0.430 0.614 0.209
0.108 0.277 0.875
0.875 0.108 0.277
0.391 0.787 0.572
0.277 0.875 0.108
0.787 0.572 0.391
0.572 0.391 0.787
0.231 0.054 0.465
0.054 0.465 0.231
0.950 0.543 0.764
0.543 0.764 0.950
0.764 0.950 0.543
0.465 0.231 0.054
```

Raw total energy: -6.639 eV per atom